VASP calculation (PBE) on crystalline Ba3ZnAg2O6 at its relaxed geometry.

Computed properties:
The calculation puts the volume at 18.0 Å³ per atom. For the total energy, the calculation gives -4.85 eV per atom. For the formation energy from raw total energies, the calculation gives -1312.2 meV/atom.

a b c (Å): 6.065 6.065 6.774
angles (deg): 90.00 90.00 120.00
Fractional coordinates of all 12 atoms:
Ba 0.000 0.000 0.000
Ba 0.333 0.667 0.625
Ba 0.667 0.333 0.375
Zn 0.000 0.000 0.500
Ag 0.333 0.667 0.144
Ag 0.667 0.333 0.856
O 0.160 0.321 0.316
O 0.160 0.840 0.316
O 0.321 0.160 0.684
O 0.679 0.840 0.316
O 0.840 0.160 0.684
O 0.840 0.679 0.684